(1)
A plane-wave DFT calculation with GGA-PBEsol was carried out for Sr2Zn after structural relaxation.

POSCAR file:
```
Sr2Zn
1.0
4.285 0.000 0.000
0.000 7.423 0.000
0.000 0.000 7.781
Sr Zn
4 2
direct
0.500 0.263 0.165 Sr
0.500 0.737 0.835 Sr
0.000 0.763 0.335 Sr
0.000 0.237 0.665 Sr
0.500 0.500 0.500 Zn
0.000 0.000 0.000 Zn
```

formation energy: 3 meV/atom
N(E_F): 1.13 states/eV per atom

=====

(2)
A plane-wave DFT calculation with GGA-PBEsol was carried out for La2CrBr after structural relaxation.

POSCAR file:
```
La2CrBr
1.0
-2.665 0.388 2.321
-3.269 -0.666 -3.642
0.046 -5.910 1.039
Cr La Br
1 2 1
direct
0.500 0.500 0.875 Cr
0.000 0.000 0.875 La
0.500 0.500 0.375 La
0.000 0.000 0.375 Br
```

relative energy among the computed polymorphs: 0.0308 eV per atom
N(E_F): 1.12 states/eV per atom

=====

(3)
A plane-wave DFT calculation with GGA-PBEsol was carried out for CuAsP after structural relaxation.

POSCAR file:
```
CuAsP
1.0
-3.794 -1.429 -0.906
-0.850 -4.045 0.417
-2.515 -1.290 3.044
As P Cu
1 1 1
direct
0.000 0.000 0.000 As
0.250 0.250 0.250 P
0.500 0.500 0.500 Cu
```

relative energy among the computed polymorphs: 0.0000 eV per atom
formation energy: 437 meV/atom
N(E_F): 0.54 states/eV per atom

=====

(4)
A plane-wave DFT calculation with GGA-PBEsol was carried out for TlAs3I after structural relaxation.

POSCAR file:
```
TlAs3I
1.0
5.367 0.000 0.000
0.000 5.367 0.000
0.000 0.000 5.367
As I Tl
3 1 1
direct
0.500 0.000 0.000 As
0.000 0.000 0.500 As
0.000 0.500 0.000 As
0.000 0.000 0.000 I
0.500 0.500 0.500 Tl
```

N(E_F): 1.33 states/eV per atom

=====

(5)
A plane-wave DFT calculation with GGA-PBEsol was carried out for NbSnOF2 after structural relaxation.

POSCAR file:
```
NbSnOF2
1.0
3.966 0.000 0.000
0.000 4.372 0.000
0.000 0.000 4.372
O Nb Sn F
1 1 1 2
direct
0.500 0.000 0.000 O
0.000 0.000 0.000 Nb
0.500 0.500 0.500 Sn
0.000 0.500 0.000 F
0.000 0.000 0.500 F
```

N(E_F): 0.61 states/eV per atom

=====

(6)
A plane-wave DFT calculation with GGA-PBEsol was carried out for LiTiSiO4 after structural relaxation.

POSCAR file:
```
LiTiSiO4
1.0
-1.625 -4.536 -1.130
0.306 -1.531 5.707
-8.780 2.838 1.232
O Li Si Ti
16 4 4 4
direct
0.172 0.474 0.386 O
0.328 0.026 0.886 O
0.603 0.750 0.351 O
0.328 0.474 0.886 O
0.103 0.250 0.149 O
0.700 0.250 0.370 O
0.672 0.974 0.114 O
0.300 0.750 0.630 O
0.828 0.974 0.614 O
0.200 0.750 0.130 O
0.172 0.026 0.386 O
0.800 0.250 0.870 O
0.828 0.526 0.614 O
0.897 0.750 0.851 O
0.397 0.250 0.649 O
0.672 0.526 0.114 O
0.511 0.250 0.175 Li
0.989 0.250 0.675 Li
0.011 0.750 0.325 Li
0.489 0.750 0.825 Li
0.023 0.250 0.323 Si
0.523 0.750 0.177 Si
0.477 0.250 0.823 Si
0.977 0.750 0.677 Si
0.000 0.500 0.000 Ti
0.500 0.000 0.500 Ti
0.000 0.000 0.000 Ti
0.500 0.500 0.500 Ti
```

relative energy among the computed polymorphs: 0.0245 eV per atom
N(E_F): 0.27 states/eV per atom

=====

(7)
A plane-wave DFT calculation with GGA-PBEsol was carried out for TaNi2Ru after structural relaxation.

POSCAR file:
```
TaNi2Ru
1.0
-0.404 2.675 0.543
-3.128 -1.071 2.948
3.909 0.169 2.076
Ru Ni Ta
1 2 1
direct
0.500 0.500 0.500 Ru
0.000 0.500 0.000 Ni
0.000 0.000 0.500 Ni
0.500 0.000 0.000 Ta
```

relative energy among the computed polymorphs: 0.2098 eV per atom
formation energy: -119 meV/atom
N(E_F): 1.22 states/eV per atom

=====

(8)
A plane-wave DFT calculation with GGA-PBEsol was carried out for MgSb2H2F14 after structural relaxation.

POSCAR file:
```
MgSb2H2F14
1.0
-4.407 4.418 -2.512
-8.354 -3.474 8.546
4.484 9.058 8.065
F H Mg Sb
56 8 4 8
direct
0.831 0.250 0.936 F
0.983 0.563 0.631 F
0.475 0.866 0.384 F
0.987 0.599 0.174 F
0.017 0.437 0.369 F
0.777 0.529 0.975 F
0.513 0.901 0.674 F
0.801 0.250 0.733 F
0.013 0.099 0.826 F
0.699 0.250 0.233 F
0.517 0.937 0.131 F
0.428 0.863 0.940 F
0.525 0.134 0.616 F
0.277 0.471 0.525 F
0.017 0.063 0.369 F
0.223 0.471 0.025 F
0.777 0.971 0.975 F
0.487 0.401 0.326 F
0.331 0.750 0.564 F
0.274 0.250 0.431 F
0.928 0.363 0.560 F
0.669 0.250 0.436 F
0.513 0.599 0.674 F
0.517 0.563 0.131 F
0.723 0.971 0.475 F
0.726 0.750 0.569 F
0.572 0.137 0.060 F
0.483 0.437 0.869 F
0.483 0.063 0.869 F
0.975 0.134 0.116 F
0.983 0.937 0.631 F
0.487 0.099 0.326 F
0.169 0.750 0.064 F
0.296 0.250 0.212 F
0.572 0.363 0.060 F
0.204 0.250 0.712 F
0.428 0.637 0.940 F
0.796 0.750 0.288 F
0.928 0.137 0.560 F
0.987 0.901 0.174 F
0.199 0.750 0.267 F
0.072 0.863 0.440 F
0.277 0.029 0.525 F
0.013 0.401 0.826 F
0.072 0.637 0.440 F
0.226 0.250 0.931 F
0.025 0.866 0.884 F
0.475 0.634 0.384 F
0.525 0.366 0.616 F
0.704 0.750 0.788 F
0.223 0.029 0.025 F
0.301 0.750 0.767 F
0.975 0.366 0.116 F
0.025 0.634 0.884 F
0.723 0.529 0.475 F
0.774 0.750 0.069 F
0.083 0.094 0.081 H
0.583 0.594 0.419 H
0.083 0.406 0.081 H
0.917 0.906 0.919 H
0.417 0.406 0.581 H
0.917 0.594 0.919 H
0.583 0.906 0.419 H
0.417 0.094 0.581 H
0.284 0.750 0.413 Mg
0.784 0.250 0.087 Mg
0.716 0.250 0.587 Mg
0.216 0.750 0.913 Mg
0.000 0.500 0.500 Sb
0.000 0.000 0.500 Sb
0.469 0.250 0.326 Sb
0.500 0.500 0.000 Sb
0.969 0.750 0.174 Sb
0.031 0.250 0.826 Sb
0.531 0.750 0.674 Sb
0.500 0.000 0.000 Sb
```

N(E_F): 0.00 states/eV per atom

=====

(9)
A plane-wave DFT calculation with GGA-PBEsol was carried out for Ba2TeAs2 after structural relaxation.

POSCAR file:
```
Ba2TeAs2
1.0
6.170 -0.006 -0.009
-3.013 5.384 0.009
-3.013 -1.847 5.057
As Te Ba
2 1 2
direct
0.000 0.642 0.642 As
0.000 0.358 0.358 As
0.000 0.000 0.000 Te
0.500 0.250 0.750 Ba
0.500 0.750 0.250 Ba
```

N(E_F): 1.24 states/eV per atom

=====

(10)
A plane-wave DFT calculation with GGA-PBEsol was carried out for Ni2BiAsC after structural relaxation.

POSCAR file:
```
Ni2BiAsC
1.0
3.928 0.000 0.000
0.000 3.928 0.000
0.000 0.000 4.750
As C Bi Ni
1 1 1 2
direct
0.000 0.000 0.500 As
0.000 0.000 0.000 C
0.500 0.500 0.500 Bi
0.500 0.000 0.000 Ni
0.000 0.500 0.000 Ni
```

formation energy: 609 meV/atom
N(E_F): 0.80 states/eV per atom

=====

(11)
A plane-wave DFT calculation with GGA-PBEsol was carried out for NbReTe2P after structural relaxation.

POSCAR file:
```
NbReTe2P
1.0
4.621 0.000 0.000
0.000 5.369 0.000
0.000 0.000 5.369
Re P Te Nb
1 1 2 1
direct
0.500 0.500 0.500 Re
0.500 0.000 0.000 P
0.000 0.000 0.500 Te
0.000 0.500 0.000 Te
0.000 0.000 0.000 Nb
```

N(E_F): 0.83 states/eV per atom

=====

(12)
A plane-wave DFT calculation with GGA-PBEsol was carried out for MgAgAsSe2 after structural relaxation.

POSCAR file:
```
MgAgAsSe2
1.0
-3.626 -3.030 0.865
2.677 -2.130 3.757
-1.986 3.318 3.297
Se Mg Ag As
2 1 1 1
direct
0.000 0.000 0.500 Se
0.000 0.500 0.000 Se
0.500 0.500 0.500 Mg
0.000 0.000 0.000 Ag
0.500 0.000 0.000 As
```

N(E_F): 0.92 states/eV per atom

=====

(13)
A plane-wave DFT calculation with GGA-PBEsol was carried out for CoCuI3 after structural relaxation.

POSCAR file:
```
CoCuI3
1.0
-5.179 -0.968 -0.054
0.744 -4.154 3.154
-0.622 3.093 4.220
I Cu Co
3 1 1
direct
0.500 0.000 0.000 I
0.000 0.500 0.000 I
0.000 0.000 0.500 I
0.000 0.000 0.000 Cu
0.500 0.500 0.500 Co
```

N(E_F): 1.37 states/eV per atom

=====

(14)
A plane-wave DFT calculation with GGA-PBEsol was carried out for BaTaSe3 after structural relaxation.

POSCAR file:
```
BaTaSe3
1.0
-4.528 -0.731 -3.580
4.442 -0.459 -5.525
-1.865 -5.861 3.555
Se Ta Ba
6 2 2
direct
0.250 0.825 0.649 Se
0.750 0.175 0.351 Se
0.750 0.175 0.825 Se
0.250 0.351 0.175 Se
0.250 0.825 0.175 Se
0.750 0.649 0.825 Se
0.500 0.000 0.000 Ta
0.000 0.000 0.000 Ta
0.250 0.333 0.667 Ba
0.750 0.667 0.333 Ba
```

N(E_F): 0.28 states/eV per atom

=====

(15)
A plane-wave DFT calculation with GGA-PBEsol was carried out for Cr2CoBr after structural relaxation.

POSCAR file:
```
Cr2CoBr
1.0
-2.292 0.331 -1.909
-1.034 -2.710 0.772
-3.372 2.566 4.494
Cr Co Br
2 1 1
direct
0.000 0.000 0.984 Cr
0.500 0.500 0.209 Cr
0.500 0.500 0.803 Co
0.000 0.000 0.505 Br
```

N(E_F): 0.85 states/eV per atom

=====

(16)
A plane-wave DFT calculation with GGA-PBEsol was carried out for ScTcOs2 after structural relaxation.

POSCAR file:
```
ScTcOs2
1.0
-1.744 2.955 -2.733
-3.872 1.835 0.935
-0.200 4.222 1.172
Sc Tc Os
1 1 2
direct
0.500 0.500 0.500 Sc
0.250 0.250 0.250 Tc
0.750 0.750 0.750 Os
0.000 0.000 0.000 Os
```

relative energy among the computed polymorphs: 0.0000 eV per atom
formation energy: 116 meV/atom
N(E_F): 1.13 states/eV per atom

=====

(17)
A plane-wave DFT calculation with GGA-PBEsol was carried out for NaTaCo3 after structural relaxation.

POSCAR file:
```
NaTaCo3
1.0
-1.957 2.344 2.693
-3.348 -0.136 -2.314
-1.243 -3.326 1.993
Co Na Ta
3 1 1
direct
0.000 0.500 0.000 Co
0.000 0.000 0.500 Co
0.500 0.000 0.000 Co
0.000 0.000 0.000 Na
0.500 0.500 0.500 Ta
```

formation energy: 1749 meV/atom
N(E_F): 0.44 states/eV per atom

=====

(18)
A plane-wave DFT calculation with GGA-PBEsol was carried out for TcSbSe after structural relaxation.

POSCAR file:
```
TcSbSe
1.0
-2.316 1.947 -0.476
-1.798 -0.341 -2.499
-5.718 -3.500 3.652
Tc Sb Se
1 1 1
direct
0.323 0.000 0.353 Tc
0.977 0.000 0.045 Sb
0.699 0.000 0.601 Se
```

N(E_F): 1.05 states/eV per atom

=====

(19)
A plane-wave DFT calculation with GGA-PBEsol was carried out for Tl2HgPb after structural relaxation.

POSCAR file:
```
Tl2HgPb
1.0
-0.587 2.523 2.090
-5.190 -0.974 -0.283
0.680 -4.806 4.080
Pb Tl Hg
1 2 1
direct
0.339 0.500 0.748 Pb
0.985 0.000 0.994 Tl
0.710 0.500 0.269 Tl
0.466 0.000 0.490 Hg
```

formation energy: 2 meV/atom
N(E_F): 0.41 states/eV per atom

=====

(20)
A plane-wave DFT calculation with GGA-PBEsol was carried out for KPt after structural relaxation.

POSCAR file:
```
KPt
1.0
3.590 0.000 0.000
0.000 3.590 0.000
0.000 0.000 3.590
K Pt
1 1
direct
0.000 0.000 0.000 K
0.500 0.500 0.500 Pt
```

formation energy: 755 meV/atom
N(E_F): 0.55 states/eV per atom

=====

(21)
A plane-wave DFT calculation with GGA-PBEsol was carried out for DyZnGa after structural relaxation.

POSCAR file:
```
DyZnGa
1.0
-2.106 3.642 1.032
-0.092 -3.392 2.692
5.822 2.438 3.272
Ga Zn Dy
2 2 2
direct
0.333 0.667 0.250 Ga
0.667 0.333 0.750 Ga
0.667 0.333 0.250 Zn
0.333 0.667 0.750 Zn
0.000 0.000 0.000 Dy
0.000 0.000 0.500 Dy
```

formation energy: -596 meV/atom
N(E_F): 0.60 states/eV per atom

=====

(22)
A plane-wave DFT calculation with GGA-PBEsol was carried out for NaFeC2 after structural relaxation.

POSCAR file:
```
NaFeC2
1.0
-0.287 4.690 0.026
-3.450 -0.229 3.182
5.303 -2.041 2.133
C Fe Na
4 2 2
direct
0.125 0.375 0.250 C
0.625 0.875 0.750 C
0.125 0.875 0.750 C
0.125 0.875 0.250 C
0.000 0.000 0.000 Fe
0.250 0.750 0.500 Fe
0.750 0.250 0.500 Na
0.500 0.500 0.000 Na
```

relative energy among the computed polymorphs: 0.0000 eV per atom
formation energy: 683 meV/atom
N(E_F): 0.23 states/eV per atom

=====

(23)
A plane-wave DFT calculation with GGA-PBEsol was carried out for CaAs2Ir after structural relaxation.

POSCAR file:
```
CaAs2Ir
1.0
-0.349 0.470 -4.027
-0.621 -3.241 -2.381
-5.613 -0.301 -1.604
Ir As Ca
1 2 1
direct
0.000 0.000 0.000 Ir
0.725 0.725 0.825 As
0.275 0.275 0.175 As
0.500 0.500 0.500 Ca
```

formation energy: -665 meV/atom
N(E_F): 0.41 states/eV per atom

=====

In order of appearance, uncorrected energy = -0.1287 -0.4377 -0.3411 -0.2114 -0.4733 -0.5860 -0.6526 -0.3456 -0.3262 -0.4161 -0.4403 -0.2306 -0.1938 -0.4812 -0.5120 -0.7688 -0.4177 -0.4604 -0.1804 -0.2421 -0.2863 -0.4946 -0.4562 Ry per atom.
In order of appearance, total moment = 0.0 2.6 0.0 0.0 1.7 0.3 0.0 0.1 0.0 0.0 4.4 0.0 2.6 0.0 1.5 0.0 0.9 0.0 0.0 0.0 0.0 0.0 0.0 μB per formula unit.